No. 1
# PBEsol NaPtS2, optimized geometry
data_NaPtS2
_cell_length_a 6.307
_cell_length_b 6.307
_cell_length_c 6.307
_cell_angle_alpha 90.00
_cell_angle_beta 90.00
_cell_angle_gamma 90.00
_symmetry_space_group_name_H-M 'F m -3 m'
_symmetry_Int_Tables_number 225
_symmetry_space_group_name_Hall '-F 4 2 3'
loop_
_atom_site_label
_atom_site_type_symbol
_atom_site_fract_x
_atom_site_fract_y
_atom_site_fract_z
Na1 Na 0.000 0.000 0.000
Pt1 Pt 0.000 0.000 0.500
S1 S 0.250 0.250 0.250
# Formation energy without anion corrections = 0.019 eV/atom

***

No. 2
# PBEsol NaSb2Pt2, optimized geometry
data_NaSb2Pt2
_cell_length_a 4.859
_cell_length_b 4.859
_cell_length_c 9.646
_cell_angle_alpha 90.00
_cell_angle_beta 90.00
_cell_angle_gamma 90.00
_symmetry_space_group_name_H-M 'I 4/m m m'
_symmetry_Int_Tables_number 139
_symmetry_space_group_name_Hall '-I 4 2'
loop_
_atom_site_label
_atom_site_type_symbol
_atom_site_fract_x
_atom_site_fract_y
_atom_site_fract_z
Na1 Na 0.000 0.000 0.000
Sb1 Sb 0.000 0.500 0.250
Pt1 Pt 0.000 0.000 0.362
# Formation energy without anion corrections = -0.304 eV/atom

***

No. 3
# PBEsol NaSc3Pt, optimized geometry
data_NaSc3Pt
_cell_length_a 5.131
_cell_length_b 5.131
_cell_length_c 5.131
_cell_angle_alpha 90.00
_cell_angle_beta 90.00
_cell_angle_gamma 90.00
_symmetry_space_group_name_H-M 'P m -3 m'
_symmetry_Int_Tables_number 221
_symmetry_space_group_name_Hall '-P 4 2 3'
loop_
_atom_site_label
_atom_site_type_symbol
_atom_site_fract_x
_atom_site_fract_y
_atom_site_fract_z
Na1 Na 0.000 0.000 0.000
Sc1 Sc 0.000 0.500 0.500
Pt1 Pt 0.500 0.500 0.500
# Formation energy from the elements = -184 meV per atom
# Relative energy among the computed polymorphs = 0 meV per atom

***

No. 4
# PBEsol NaSc3Pt, optimized geometry
data_NaSc3Pt
_cell_length_a 4.840
_cell_length_b 4.840
_cell_length_c 4.840
_cell_angle_alpha 90.00
_cell_angle_beta 90.00
_cell_angle_gamma 90.00
_symmetry_space_group_name_H-M 'P m -3 m'
_symmetry_Int_Tables_number 221
_symmetry_space_group_name_Hall '-P 4 2 3'
loop_
_atom_site_label
_atom_site_type_symbol
_atom_site_fract_x
_atom_site_fract_y
_atom_site_fract_z
Na1 Na 0.000 0.000 0.000
Sc1 Sc 0.000 0.000 0.500
Pt1 Pt 0.500 0.500 0.500
# Formation energy from the elements = 1125 meV per atom
# Relative energy among the computed polymorphs = 1309 meV per atom

***

No. 5
# PBEsol NaZrSc2Pt, optimized geometry
data_NaZrSc2Pt
_cell_length_a 4.804
_cell_length_b 4.804
_cell_length_c 4.880
_cell_angle_alpha 90.00
_cell_angle_beta 90.00
_cell_angle_gamma 90.00
_symmetry_space_group_name_H-M 'P 4/m m m'
_symmetry_Int_Tables_number 123
_symmetry_space_group_name_Hall '-P 4 2'
loop_
_atom_site_label
_atom_site_type_symbol
_atom_site_fract_x
_atom_site_fract_y
_atom_site_fract_z
Na1 Na 0.000 0.000 0.000
Zr1 Zr 0.000 0.000 0.500
Sc1 Sc 0.000 0.500 0.500
Pt1 Pt 0.500 0.500 0.000
# Formation energy from the elements = 1174 meV per atom

***

No. 6
# PBEsol Na3PtSe, optimized geometry
data_Na3PtSe
_cell_length_a 5.325
_cell_length_b 5.325
_cell_length_c 5.325
_cell_angle_alpha 90.00
_cell_angle_beta 90.00
_cell_angle_gamma 90.00
_symmetry_space_group_name_H-M 'P m -3 m'
_symmetry_Int_Tables_number 221
_symmetry_space_group_name_Hall '-P 4 2 3'
loop_
_atom_site_label
_atom_site_type_symbol
_atom_site_fract_x
_atom_site_fract_y
_atom_site_fract_z
Na1 Na 0.000 0.000 0.500
Pt1 Pt 0.500 0.500 0.500
Se1 Se 0.000 0.000 0.000
# Formation energy without anion corrections = 0.085 eV/atom

***

No. 7
# PBEsol NaPtSe2, optimized geometry
data_NaPtSe2
_cell_length_a 6.599
_cell_length_b 6.599
_cell_length_c 6.599
_cell_angle_alpha 90.00
_cell_angle_beta 90.00
_cell_angle_gamma 90.00
_symmetry_space_group_name_H-M 'F m -3 m'
_symmetry_Int_Tables_number 225
_symmetry_space_group_name_Hall '-F 4 2 3'
loop_
_atom_site_label
_atom_site_type_symbol
_atom_site_fract_x
_atom_site_fract_y
_atom_site_fract_z
Na1 Na 0.000 0.000 0.000
Pt1 Pt 0.000 0.000 0.500
Se1 Se 0.250 0.250 0.250
# Formation energy without anion corrections = -0.040 eV/atom

***

No. 8
# PBEsol NaPt3Se, optimized geometry
data_NaPt3Se
_cell_length_a 4.566
_cell_length_b 4.566
_cell_length_c 4.566
_cell_angle_alpha 90.00
_cell_angle_beta 90.00
_cell_angle_gamma 90.00
_symmetry_space_group_name_H-M 'P m -3 m'
_symmetry_Int_Tables_number 221
_symmetry_space_group_name_Hall '-P 4 2 3'
loop_
_atom_site_label
_atom_site_type_symbol
_atom_site_fract_x
_atom_site_fract_y
_atom_site_fract_z
Na1 Na 0.000 0.000 0.000
Pt1 Pt 0.000 0.000 0.500
Se1 Se 0.500 0.500 0.500
# Formation energy without anion corrections = 1.715 eV/atom

***

No. 9
# PBEsol Na2SiPt2, optimized geometry
data_Na2SiPt2
_cell_length_a 6.119
_cell_length_b 6.119
_cell_length_c 4.975
_cell_angle_alpha 90.00
_cell_angle_beta 90.00
_cell_angle_gamma 90.00
_symmetry_space_group_name_H-M 'P 4/m b m'
_symmetry_Int_Tables_number 127
_symmetry_space_group_name_Hall '-P 4 2ab'
loop_
_atom_site_label
_atom_site_type_symbol
_atom_site_fract_x
_atom_site_fract_y
_atom_site_fract_z
Na1 Na 0.169 0.331 0.000
Si1 Si 0.000 0.000 0.500
Pt1 Pt 0.151 0.651 0.500
# Formation energy without anion corrections = -0.397 eV/atom

***

No. 10
# PBEsol NaSn2Pt, optimized geometry
data_NaSn2Pt
_cell_length_a 6.818
_cell_length_b 6.818
_cell_length_c 6.818
_cell_angle_alpha 90.00
_cell_angle_beta 90.00
_cell_angle_gamma 90.00
_symmetry_space_group_name_H-M 'F m -3 m'
_symmetry_Int_Tables_number 225
_symmetry_space_group_name_Hall '-F 4 2 3'
loop_
_atom_site_label
_atom_site_type_symbol
_atom_site_fract_x
_atom_site_fract_y
_atom_site_fract_z
Na1 Na 0.000 0.000 0.000
Sn1 Sn 0.250 0.250 0.250
Pt1 Pt 0.000 0.000 0.500
# Formation energy from the elements = -233 meV per atom

***

No. 11
# PBEsol NaSr2Pt2, optimized geometry
data_NaSr2Pt2
_cell_length_a 7.935
_cell_length_b 7.935
_cell_length_c 4.128
_cell_angle_alpha 90.00
_cell_angle_beta 90.00
_cell_angle_gamma 90.00
_symmetry_space_group_name_H-M 'P 4/m b m'
_symmetry_Int_Tables_number 127
_symmetry_space_group_name_Hall '-P 4 2ab'
loop_
_atom_site_label
_atom_site_type_symbol
_atom_site_fract_x
_atom_site_fract_y
_atom_site_fract_z
Na1 Na 0.000 0.000 0.000
Sr1 Sr 0.169 0.331 0.500
Pt1 Pt 0.120 0.620 0.000
# Formation energy from the elements = -503 meV per atom

***

No. 12
# PBEsol NaTcPt2, optimized geometry
data_NaTcPt2
_cell_length_a 6.272
_cell_length_b 6.272
_cell_length_c 6.272
_cell_angle_alpha 90.00
_cell_angle_beta 90.00
_cell_angle_gamma 90.00
_symmetry_space_group_name_H-M 'F m -3 m'
_symmetry_Int_Tables_number 225
_symmetry_space_group_name_Hall '-F 4 2 3'
loop_
_atom_site_label
_atom_site_type_symbol
_atom_site_fract_x
_atom_site_fract_y
_atom_site_fract_z
Na1 Na 0.000 0.000 0.000
Tc1 Tc 0.000 0.000 0.500
Pt1 Pt 0.250 0.250 0.250
# Formation energy from the elements = 402 meV per atom

***

No. 13
# PBEsol NaTePt3, optimized geometry
data_NaTePt3
_cell_length_a 4.942
_cell_length_b 4.942
_cell_length_c 4.942
_cell_angle_alpha 90.00
_cell_angle_beta 90.00
_cell_angle_gamma 90.00
_symmetry_space_group_name_H-M 'P m -3 m'
_symmetry_Int_Tables_number 221
_symmetry_space_group_name_Hall '-P 4 2 3'
loop_
_atom_site_label
_atom_site_type_symbol
_atom_site_fract_x
_atom_site_fract_y
_atom_site_fract_z
Na1 Na 0.000 0.000 0.000
Te1 Te 0.500 0.500 0.500
Pt1 Pt 0.000 0.500 0.500
# Formation energy without anion corrections = 0.513 eV/atom

***

No. 14
# PBEsol Na2PtW, optimized geometry
data_Na2PtW
_cell_length_a 6.650
_cell_length_b 6.650
_cell_length_c 6.650
_cell_angle_alpha 90.00
_cell_angle_beta 90.00
_cell_angle_gamma 90.00
_symmetry_space_group_name_H-M 'F m -3 m'
_symmetry_Int_Tables_number 225
_symmetry_space_group_name_Hall '-F 4 2 3'
loop_
_atom_site_label
_atom_site_type_symbol
_atom_site_fract_x
_atom_site_fract_y
_atom_site_fract_z
Na1 Na 0.250 0.250 0.250
Pt1 Pt 0.000 0.000 0.000
W1 W 0.000 0.000 0.500
# Formation energy from the elements = 1444 meV per atom

***

Number 1: ρ 7.5 g/cm3. Number 2: ρ 9.6 g/cm3. Number 3: ρ 4.3 g/cm3. Number 4: ρ 5.2 g/cm3. Number 5: ρ 5.9 g/cm3. Number 6: ρ 3.8 g/cm3. Number 7: ρ 8.7 g/cm3. Number 8: ρ 12.0 g/cm3. Number 9: ρ 8.3 g/cm3. Number 10: ρ 9.5 g/cm3. Number 11: ρ 7.5 g/cm3. Number 12: ρ 13.8 g/cm3. Number 13: ρ 10.1 g/cm3. Number 14: ρ 9.6 g/cm3.